NiP2PdO8: relaxed, GGA+U.

Cell and atoms, written as CIF:
```
data_NiP2PdO8
_cell_length_a 5.2100
_cell_length_b 5.2100
_cell_length_c 5.9705
_cell_angle_alpha 90.00
_cell_angle_beta 90.00
_cell_angle_gamma 120.00
_symmetry_space_group_name_H-M 'P -3 m 1'
_symmetry_Int_Tables_number 164
_symmetry_space_group_name_Hall '-P 3 2"'
loop_
_atom_site_label
_atom_site_type_symbol
_atom_site_fract_x
_atom_site_fract_y
_atom_site_fract_z
Ni1 Ni 0.0000 0.0000 0.0000
P1 P 0.3333 0.6667 0.1927
Pd1 Pd 0.0000 0.0000 0.5000
O1 O 0.1653 0.3307 0.2630
O2 O 0.3333 0.6667 0.9413
```

crystal system	trigonal
total DFT energy (no corrections)	-0.45489	Ry/atom
calculated volume	11.696	Å³/atom